# Sr2ScReN

Sr2ScReN after structural relaxation (GGA-PBE, the Alexandria database).

Properties
As for the energy: -5.436 eV/atom.

abc: 6.2994 6.2994 3.8149
angles: 90.00 90.00 90.00
Last column: nearest neighbours and their distance in Å.
Atoms (fractional coordinates):
Sr 0.0000 0.5000 0.0000  2 Re 3.15
Sr 0.5000 0.0000 0.0000  2 Re 3.15
Sc 0.0000 0.0000 0.5000  8 Sr 3.68, 2 Sc 3.81
Re 0.5000 0.5000 0.0000  2 N 1.91
N 0.5000 0.5000 0.5000  2 Re 1.91